The following is a PBE-GGA calculation of a relaxed structure of TaTe2Ir, from Alexandria.

Properties
Energy relative to the elements, uncorrected   0.0311 eV/atom
M_tot   0.000 μB/cell

Cell lengths 7.8174, 7.8174, 7.8174 Å; angles 152.49, 151.44, 40.07 degrees
Last column: nearest neighbours and their distance in Å.
Fractional coordinates of all 4 atoms:
Ta (0.0000, 0.0000, 0.0000)  2 Ir 2.56
Te (0.4025, 0.4025, 0.0000)  4 Ta 3.04
Te (0.6542, 0.1542, 0.5000)  4 Ir 2.73, 2 Ta 2.97
Ir (0.1194, 0.6194, 0.5000)  2 Ta 2.56, 4 Te 2.73

The following is a PBE-GGA calculation of a relaxed structure of TaTeIr2, from Alexandria.

Properties
Energy relative to the elements, uncorrected   0.3235 eV/atom
M_tot   0.000 μB/cell

Cell lengths 7.0986, 7.0986, 7.0986 Å; angles 130.88, 130.88, 72.01 degrees
Last column: nearest neighbours and their distance in Å.
Fractional coordinates of all 8 atoms:
Ta (0.0000, 0.0000, 0.0000)  4 Ir 2.50
Ta (0.7500, 0.2500, 0.5000)  4 Ir 2.50
Te (0.2500, 0.7500, 0.5000)  4 Ir 2.56
Te (0.5000, 0.5000, 0.0000)  4 Ir 2.56
Ir (0.1164, 0.6250, 0.9914)  2 Ta 2.50, 2 Te 2.56
Ir (0.3750, 0.3664, 0.4914)  2 Ta 2.50, 2 Te 2.56
Ir (0.6336, 0.1250, 0.0086)  2 Ta 2.50, 2 Te 2.56
Ir (0.8750, 0.8836, 0.5086)  2 Ta 2.50, 2 Te 2.56

The following is a PBE-GGA calculation of a relaxed structure of TaTe2Ir, from Alexandria.

Properties
Energy relative to the elements, uncorrected   0.3523 eV/atom
M_tot   0.000 μB/cell

Cell lengths 8.5594, 8.5594, 8.5594 Å; angles 22.55, 22.55, 22.55 degrees
Last column: nearest neighbours and their distance in Å.
Fractional coordinates of all 4 atoms:
Ta (0.0000, 0.0000, 0.0000)  6 Te 2.85
Te (0.2494, 0.2494, 0.2494)  3 Ir 2.83, 3 Ta 2.85
Te (0.7506, 0.7506, 0.7506)  3 Ir 2.83, 3 Ta 2.85
Ir (0.5000, 0.5000, 0.5000)  6 Te 2.83

The following is a PBE-GGA calculation of a relaxed structure of Ta2TeIr, from Alexandria.

Properties
Energy relative to the elements, uncorrected   0.1904 eV/atom
M_tot   0.000 μB/cell

Cell lengths 9.4863, 9.4863, 9.4863 Å; angles 18.28, 18.28, 18.28 degrees
Last column: nearest neighbours and their distance in Å.
Fractional coordinates of all 4 atoms:
Ta (0.2454, 0.2454, 0.2454)  3 Ir 2.81, 3 Te 3.01, 6 Ta 3.01
Ta (0.7546, 0.7546, 0.7546)  3 Ir 2.81, 3 Te 3.01, 6 Ta 3.01
Te (0.0000, 0.0000, 0.0000)  6 Ta 3.01, 6 Te 3.01
Ir (0.5000, 0.5000, 0.5000)  6 Ta 2.81, 6 Ir 3.01

The following is a PBE-GGA calculation of a relaxed structure of TaTe2Ir, from Alexandria.

Properties
Energy relative to the elements, uncorrected   -0.0937 eV/atom
M_tot   0.000 μB/cell

Cell lengths 7.7414, 7.7414, 7.7414 Å; angles 151.91, 149.41, 42.01 degrees
Last column: nearest neighbours and their distance in Å.
Fractional coordinates of all 4 atoms:
Ta (0.0000, 0.0000, 0.0000)  4 Ir 2.77, 4 Te 2.85
Te (0.3625, 0.8625, 0.5000)  2 Ir 2.73, 2 Ta 2.85
Te (0.6375, 0.1375, 0.5000)  2 Ir 2.73, 2 Ta 2.85
Ir (0.5000, 0.5000, 0.0000)  4 Te 2.73, 4 Ta 2.77

The following is a PBE-GGA calculation of a relaxed structure of Ta2TeIr, from Alexandria.

Properties
Energy relative to the elements, uncorrected   -0.0794 eV/atom
M_tot   0.000 μB/cell

Cell lengths 3.3975, 3.3975, 6.5797 Å; angles 90.00, 90.00, 90.00 degrees
Last column: nearest neighbours and their distance in Å.
Fractional coordinates of all 4 atoms:
Ta (0.0000, 0.0000, 0.0000)  4 Ir 2.66
Ta (0.5000, 0.5000, 0.2745)  4 Te 2.86, 1 Ir 2.96, 4 Ta 3.01
Te (0.0000, 0.0000, 0.5113)  4 Ta 2.86, 4 Ir 3.17
Ir (0.5000, 0.5000, 0.8251)  5 Ta 2.66-2.96